DFT (PBE) results for an optimized crystal structure of NdEr3Tm6Th2.

## Properties
Symmetry: C2/m
E in eV per atom: -4.98

Cell: 6.1255 6.1255 11.6100 Å, 95.06 95.06 119.95°
With the nearest neighbours (Å) after each atom.
Sites, in units of the cell vectors:
Nd (0.0000, 0.0000, 0.0000)  6 Tm 3.53, 6 Th 3.53-3.54
Er (0.1663, 0.8337, 0.5000)  6 Tm 3.50-3.52, 6 Er 3.53-3.54
Er (0.5000, 0.5000, 0.5000)  6 Tm 3.50-3.52, 6 Er 3.54
Er (0.8337, 0.1663, 0.5000)  6 Tm 3.50-3.52, 6 Er 3.53-3.54
Tm (0.0840, 0.4219, 0.2500)  3 Er 3.50-3.52, 2 Th 3.50, 6 Tm 3.51-3.59, 1 Nd 3.53
Tm (0.2540, 0.2540, 0.7500)  3 Er 3.50-3.52, 2 Th 3.51, 6 Tm 3.51-3.59, 1 Nd 3.53
Tm (0.4219, 0.0840, 0.2500)  3 Er 3.50-3.52, 2 Th 3.50, 6 Tm 3.51-3.59, 1 Nd 3.53
Tm (0.5781, 0.9160, 0.7500)  3 Er 3.50-3.52, 2 Th 3.50, 6 Tm 3.51-3.59, 1 Nd 3.53
Tm (0.7460, 0.7460, 0.2500)  3 Er 3.50-3.52, 2 Th 3.51, 6 Tm 3.51-3.59, 1 Nd 3.53
Tm (0.9160, 0.5781, 0.7500)  3 Er 3.50-3.52, 2 Th 3.50, 6 Tm 3.51-3.59, 1 Nd 3.53
Th (0.3332, 0.6668, 0.0000)  6 Tm 3.50-3.51, 3 Nd 3.53-3.54, 3 Th 3.54
Th (0.6668, 0.3332, 0.0000)  6 Tm 3.50-3.51, 3 Nd 3.53-3.54, 3 Th 3.54